# FeCuMo2

A relaxed FeCuMo2 crystal (PBE-GGA, Alexandria via LeMat-Bulk).

## Properties
Spin magnetization   0.5 μB per formula unit
Energy of formation from the pure elements   0.312 eV per atom
Offset from the most stable computed form   60 kJ/mol of formula units

abc: 8.991 8.991 8.991
angles: 17.18 17.18 17.18
Atoms (fractional coordinates):
Fe  0.000  0.000  0.000
Cu  0.500  0.500  0.500
Mo  0.254  0.254  0.254
Mo  0.746  0.746  0.746

# FeCu3Mo

A relaxed FeCu3Mo crystal (PBE-GGA, Alexandria via LeMat-Bulk).

## Properties
Spin magnetization   6.3 μB per formula unit
Energy of formation from the pure elements   1.340 eV per atom
Offset from the most stable computed form   0 kJ/mol of formula units

abc: 4.358 4.358 4.358
angles: 90.00 90.00 90.00
Atoms (fractional coordinates):
Fe  0.000  0.000  0.000
Cu  0.000  0.000  0.500
Cu  0.000  0.500  0.000
Cu  0.500  0.000  0.000
Mo  0.500  0.500  0.500

# FeCuMo

A relaxed FeCuMo crystal (PBE-GGA, Alexandria via LeMat-Bulk).

## Properties
Spin magnetization   1.9 μB per formula unit
Energy of formation from the pure elements   0.184 eV per atom
Offset from the most stable computed form   0 kJ/mol of formula units

abc: 4.240 4.240 2.530
angles: 90.00 90.00 120.00
Atoms (fractional coordinates):
Fe  0.000  0.000  0.000
Cu  0.667  0.333  0.851
Mo  0.333  0.667  0.380

# FeCuMo3

A relaxed FeCuMo3 crystal (PBE-GGA, Alexandria via LeMat-Bulk).

## Properties
Spin magnetization   0.0 μB per formula unit
Energy of formation from the pure elements   1.974 eV per atom
Offset from the most stable computed form   347 kJ/mol of formula units

abc: 4.447 4.447 4.447
angles: 90.00 90.00 90.00
Atoms (fractional coordinates):
Fe  0.000  0.000  0.000
Cu  0.500  0.500  0.500
Mo  0.000  0.500  0.500
Mo  0.500  0.000  0.500
Mo  0.500  0.500  0.000

# FeCuMo

A relaxed FeCuMo crystal (PBE-GGA, Alexandria via LeMat-Bulk).

## Properties
Spin magnetization   0.0 μB per formula unit
Energy of formation from the pure elements   0.634 eV per atom
Offset from the most stable computed form   130 kJ/mol of formula units

abc: 3.960 3.960 3.960
angles: 60.00 60.00 60.00
Atoms (fractional coordinates):
Fe  0.000  0.000  0.000
Cu  0.750  0.750  0.750
Mo  0.250  0.250  0.250

# FeCuMo2

A relaxed FeCuMo2 crystal (PBE-GGA, Alexandria via LeMat-Bulk).

## Properties
Spin magnetization   2.0 μB per formula unit
Energy of formation from the pure elements   0.167 eV per atom
Offset from the most stable computed form   4 kJ/mol of formula units

abc: 2.590 4.347 4.943
angles: 90.00 96.23 90.00
Atoms (fractional coordinates):
Fe  0.000  0.000  0.000
Cu  0.050  0.500  0.732
Mo  0.442  0.000  0.510
Mo  0.657  0.500  0.216

# FeCuMo2

A relaxed FeCuMo2 crystal (PBE-GGA, Alexandria via LeMat-Bulk).

## Properties
Spin magnetization   2.2 μB per formula unit
Energy of formation from the pure elements   0.157 eV per atom
Offset from the most stable computed form   0 kJ/mol of formula units

abc: 2.634 2.634 8.412
angles: 90.00 90.00 105.46
Atoms (fractional coordinates):
Fe  0.000  0.000  0.000
Cu  0.500  0.500  0.771
Mo  0.000  0.000  0.516
Mo  0.500  0.500  0.244

# Fe3CuMo

A relaxed Fe3CuMo crystal (PBE-GGA, Alexandria via LeMat-Bulk).

## Properties
Spin magnetization   4.7 μB per formula unit
Energy of formation from the pure elements   1.594 eV per atom
Offset from the most stable computed form   0 kJ/mol of formula units

abc: 4.429 4.429 4.429
angles: 90.00 90.00 90.00
Atoms (fractional coordinates):
Fe  0.000  0.000  0.500
Fe  0.000  0.500  0.000
Fe  0.500  0.000  0.000
Cu  0.500  0.500  0.500
Mo  0.000  0.000  0.000

# FeCuMo2

A relaxed FeCuMo2 crystal (PBE-GGA, Alexandria via LeMat-Bulk).

## Properties
Spin magnetization   1.1 μB per formula unit
Energy of formation from the pure elements   0.229 eV per atom
Offset from the most stable computed form   28 kJ/mol of formula units

abc: 4.635 4.635 4.635
angles: 131.54 131.54 70.95
Atoms (fractional coordinates):
Fe  0.000  0.000  0.000
Cu  0.500  0.500  0.000
Mo  0.250  0.750  0.500
Mo  0.750  0.250  0.500

# FeCuMo2

A relaxed FeCuMo2 crystal (PBE-GGA, Alexandria via LeMat-Bulk).

## Properties
Spin magnetization   2.3 μB per formula unit
Energy of formation from the pure elements   0.217 eV per atom
Offset from the most stable computed form   23 kJ/mol of formula units

abc: 3.187 3.187 5.521
angles: 90.00 90.00 90.00
Atoms (fractional coordinates):
Fe  0.000  0.000  0.000
Cu  0.500  0.500  0.783
Mo  0.000  0.000  0.524
Mo  0.500  0.500  0.264

# Fe2CuMoN

A relaxed Fe2CuMoN crystal (PBE-GGA, Alexandria via LeMat-Bulk).

## Properties
Spin magnetization   5.1 μB per formula unit
ΔE_f (raw)   0.0158 eV per atom

abc: 3.814 3.814 4.077
angles: 90.00 90.00 90.00
Atoms (fractional coordinates):
Fe  0.000  0.500  0.000
Fe  0.500  0.000  0.000
Cu  0.000  0.000  0.500
Mo  0.500  0.500  0.500
N  0.500  0.500  0.000

# FeCuMoN2

A relaxed FeCuMoN2 crystal (PBE-GGA, Alexandria via LeMat-Bulk).

## Properties
Spin magnetization   3.4 μB per formula unit
ΔE_f (raw)   1.0491 eV per atom

abc: 3.888 3.888 4.851
angles: 90.00 90.00 90.00
Atoms (fractional coordinates):
Fe  0.000  0.000  0.000
Cu  0.500  0.500  0.000
Mo  0.500  0.500  0.500
N  0.000  0.500  0.500
N  0.500  0.000  0.500

# NaFe2CuMo

A relaxed NaFe2CuMo crystal (PBE-GGA, Alexandria via LeMat-Bulk).

## Properties
Spin magnetization   7.6 μB per formula unit
Energy of formation from the pure elements   2.314 eV per atom

abc: 4.339 4.339 4.717
angles: 90.00 90.00 90.00
Atoms (fractional coordinates):
Na  0.000  0.000  0.000
Fe  0.000  0.500  0.000
Fe  0.500  0.000  0.000
Cu  0.500  0.500  0.500
Mo  0.000  0.000  0.500

# FeCuNiMo

A relaxed FeCuNiMo crystal (PBE-GGA, Alexandria via LeMat-Bulk).

## Properties
Spin magnetization   1.1 μB per formula unit
Energy of formation from the pure elements   0.174 eV per atom

abc: 4.123 4.123 4.123
angles: 60.00 60.00 60.00
Atoms (fractional coordinates):
Fe  0.000  0.000  0.000
Cu  0.750  0.750  0.750
Ni  0.500  0.500  0.500
Mo  0.250  0.250  0.250

# FeCuMoPb2

A relaxed FeCuMoPb2 crystal (PBE-GGA, Alexandria via LeMat-Bulk).

## Properties
Spin magnetization   0.4 μB per formula unit
Energy of formation from the pure elements   1.719 eV per atom

abc: 4.945 4.945 4.733
angles: 90.00 90.00 90.00
Atoms (fractional coordinates):
Fe  0.000  0.000  0.000
Cu  0.500  0.500  0.500
Mo  0.500  0.500  0.000
Pb  0.000  0.500  0.500
Pb  0.500  0.000  0.500

# FeCuMoRh

A relaxed FeCuMoRh crystal (PBE-GGA, Alexandria via LeMat-Bulk).

## Properties
Spin magnetization   0.2 μB per formula unit
Energy of formation from the pure elements   0.123 eV per atom

abc: 4.216 4.216 4.216
angles: 60.00 60.00 60.00
Atoms (fractional coordinates):
Fe  0.000  0.000  0.000
Cu  0.750  0.750  0.750
Mo  0.250  0.250  0.250
Rh  0.500  0.500  0.500

# FeCuMoRu

A relaxed FeCuMoRu crystal (PBE-GGA, Alexandria via LeMat-Bulk).

## Properties
Spin magnetization   0.9 μB per formula unit
Energy of formation from the pure elements   0.196 eV per atom

abc: 4.220 4.220 4.220
angles: 60.00 60.00 60.00
Atoms (fractional coordinates):
Fe  0.000  0.000  0.000
Cu  0.250  0.250  0.250
Mo  0.750  0.750  0.750
Ru  0.500  0.500  0.500

# FeCuMoRu2

A relaxed FeCuMoRu2 crystal (PBE-GGA, Alexandria via LeMat-Bulk).

## Properties
Spin magnetization   0.0 μB per formula unit
Energy of formation from the pure elements   1.645 eV per atom

abc: 4.373 4.373 4.129
angles: 90.00 90.00 90.00
Atoms (fractional coordinates):
Fe  0.000  0.000  0.000
Cu  0.000  0.000  0.500
Mo  0.500  0.500  0.000
Ru  0.000  0.500  0.500
Ru  0.500  0.000  0.500

# Fe2CuSiMo

A relaxed Fe2CuSiMo crystal (PBE-GGA, Alexandria via LeMat-Bulk).

## Properties
Spin magnetization   5.5 μB per formula unit
ΔE_f (raw)   1.2847 eV per atom

abc: 4.254 4.254 4.603
angles: 90.00 90.00 90.00
Atoms (fractional coordinates):
Fe  0.000  0.500  0.000
Fe  0.500  0.000  0.000
Cu  0.000  0.000  0.000
Si  0.500  0.500  0.500
Mo  0.000  0.000  0.500

# FeCu2TeMo

A relaxed FeCu2TeMo crystal (PBE-GGA, Alexandria via LeMat-Bulk).

## Properties
Spin magnetization   2.1 μB per formula unit
ΔE_f (raw)   0.9540 eV per atom

abc: 4.536 4.536 4.391
angles: 90.00 90.00 90.00
Atoms (fractional coordinates):
Fe  0.000  0.000  0.000
Cu  0.000  0.500  0.000
Cu  0.500  0.000  0.000
Te  0.500  0.500  0.500
Mo  0.000  0.000  0.500

# TlFeCuMo2

A relaxed TlFeCuMo2 crystal (PBE-GGA, Alexandria via LeMat-Bulk).

## Properties
Spin magnetization   0.8 μB per formula unit
Energy of formation from the pure elements   1.295 eV per atom

abc: 4.448 4.448 4.865
angles: 90.00 90.00 90.00
Atoms (fractional coordinates):
Tl  0.000  0.000  0.000
Fe  0.000  0.000  0.500
Cu  0.500  0.500  0.000
Mo  0.000  0.500  0.500
Mo  0.500  0.000  0.500

# ZrFeCuMo2

A relaxed ZrFeCuMo2 crystal (PBE-GGA, Alexandria via LeMat-Bulk).

## Properties
Spin magnetization   0.1 μB per formula unit
Energy of formation from the pure elements   2.324 eV per atom

abc: 4.749 4.749 4.669
angles: 90.00 90.00 90.00
Atoms (fractional coordinates):
Zr  0.000  0.000  0.000
Fe  0.500  0.500  0.500
Cu  0.000  0.000  0.500
Mo  0.000  0.500  0.000
Mo  0.500  0.000  0.000

# FeCuN3

A relaxed FeCuN3 crystal (PBE-GGA, Alexandria via LeMat-Bulk).

## Properties
Spin magnetization   0.0 μB per formula unit
ΔE_f (raw)   2.2482 eV per atom

abc: 3.644 3.644 3.644
angles: 90.00 90.00 90.00
Atoms (fractional coordinates):
Fe  0.000  0.000  0.000
Cu  0.500  0.500  0.500
N  0.000  0.500  0.500
N  0.500  0.000  0.500
N  0.500  0.500  0.000

# Fe2CuN

A relaxed Fe2CuN crystal (PBE-GGA, Alexandria via LeMat-Bulk).

## Properties
Spin magnetization   3.0 μB per formula unit
ΔE_f (raw)   0.3357 eV per atom

abc: 7.244 7.244 7.244
angles: 21.42 21.42 21.42
Atoms (fractional coordinates):
Fe  0.115  0.115  0.115
Fe  0.885  0.885  0.885
Cu  0.000  0.000  0.000
N  0.500  0.500  0.500

# FeCu3N

A relaxed FeCu3N crystal (PBE-GGA, Alexandria via LeMat-Bulk).

## Properties
Spin magnetization   4.6 μB per formula unit
ΔE_f (raw)   2.0530 eV per atom
Offset from the most stable computed form   733 kJ/mol of formula units

abc: 4.428 4.428 4.428
angles: 90.00 90.00 90.00
Atoms (fractional coordinates):
Fe  0.000  0.000  0.000
Cu  0.000  0.000  0.500
Cu  0.000  0.500  0.000
Cu  0.500  0.000  0.000
N  0.500  0.500  0.500

# FeCuN3

A relaxed FeCuN3 crystal (PBE-GGA, Alexandria via LeMat-Bulk).

## Properties
Spin magnetization   0.0 μB per formula unit
ΔE_f (raw)   1.4879 eV per atom

abc: 3.635 3.635 3.635
angles: 90.00 90.00 90.00
Atoms (fractional coordinates):
Fe  0.000  0.000  0.000
Cu  0.500  0.500  0.500
N  0.000  0.000  0.500
N  0.000  0.500  0.000
N  0.500  0.000  0.000

# Fe2CuN

A relaxed Fe2CuN crystal (PBE-GGA, Alexandria via LeMat-Bulk).

## Properties
Spin magnetization   2.8 μB per formula unit
ΔE_f (raw)   0.2692 eV per atom

abc: 4.843 4.843 4.843
angles: 105.96 105.96 116.76
Atoms (fractional coordinates):
Fe  0.022  0.125  0.397
Fe  0.375  0.978  0.103
Fe  0.728  0.625  0.603
Fe  0.875  0.272  0.897
Cu  0.250  0.750  0.500
Cu  0.500  0.500  0.000
N  0.000  0.000  0.000
N  0.750  0.250  0.500

# FeCu3N

A relaxed FeCu3N crystal (PBE-GGA, Alexandria via LeMat-Bulk).

## Properties
Spin magnetization   2.6 μB per formula unit
ΔE_f (raw)   0.5337 eV per atom
Offset from the most stable computed form   0 kJ/mol of formula units

abc: 3.860 3.860 3.860
angles: 90.00 90.00 90.00
Atoms (fractional coordinates):
Fe  0.000  0.000  0.000
Cu  0.000  0.500  0.500
Cu  0.500  0.000  0.500
Cu  0.500  0.500  0.000
N  0.500  0.500  0.500

# FeCu2N

A relaxed FeCu2N crystal (PBE-GGA, Alexandria via LeMat-Bulk).

## Properties
Spin magnetization   2.9 μB per formula unit
ΔE_f (raw)   0.4749 eV per atom

abc: 5.324 5.324 5.324
angles: 97.22 97.22 138.47
Atoms (fractional coordinates):
Fe  0.000  0.000  0.000
Fe  0.750  0.250  0.500
Cu  0.239  0.625  0.114
Cu  0.375  0.489  0.614
Cu  0.511  0.125  0.886
Cu  0.875  0.761  0.386
N  0.250  0.750  0.500
N  0.500  0.500  0.000